Arrangement w

A crystal of KMoIr2 relaxed with PBEsol, computed with SCAN.

Cell lengths 2.696, 5.041, 5.041 Å; angles 106.17, 90.00, 90.00 degrees
Positions (direct):
1 Ir 0.000 0.000 0.500
2 Ir 0.000 0.500 0.000
3 K 0.500 0.500 0.500
4 Mo 0.500 0.000 0.000

## Properties
The calculated volume comes out at 65.8 Å³ per cell.

Arrangement x

A crystal of KMoIr2 relaxed with PBEsol, computed with SCAN.

Cell lengths 2.675, 5.130, 5.311 Å; angles 116.15, 90.00, 90.00 degrees
Positions (direct):
1 Ir 0.000 0.000 0.000
2 Ir 0.500 0.000 0.500
3 K 0.500 0.500 0.000
4 Mo 0.000 0.500 0.500

## Properties
The calculated volume comes out at 65.4 Å³ per cell.

The relative energies come out as arrangement w 0; arrangement x 207, with values in meV/atom.

Arrangement w

A crystal of KMo2Ir relaxed with PBEsol, computed with SCAN.

Cell lengths 2.923, 4.786, 6.918 Å; angles 99.48, 90.00, 107.78 degrees
Positions (direct):
1 Ir 0.528 0.056 0.612
2 K 0.755 0.510 0.261
3 Mo 0.958 0.916 0.888
4 Mo 0.259 0.518 0.739

## Properties
The calculated volume comes out at 90.8 Å³ per cell.

Arrangement x

A crystal of KMo2Ir relaxed with PBEsol, computed with SCAN.

Cell lengths 2.781, 2.781, 10.797 Å; angles 82.60, 82.60, 60.00 degrees
Positions (direct):
1 Ir 0.500 0.500 0.500
2 K 0.000 0.000 0.000
3 Mo 0.235 0.235 0.294
4 Mo 0.765 0.765 0.706

## Properties
The calculated volume comes out at 71.5 Å³ per cell.

The relative energies come out as arrangement w 15; arrangement x 0, with values in meV/atom.

Arrangement w

A crystal of KNiIr relaxed with PBEsol, computed with SCAN.

Cell lengths 4.371, 4.371, 4.371 Å; angles 60.00, 60.00, 60.00 degrees
Positions (direct):
1 Ir 0.000 0.000 0.000
2 K 0.500 0.500 0.500
3 Ni 0.250 0.250 0.250

## Properties
The calculated volume comes out at 59.0 Å³ per cell.

Arrangement x

A crystal of KNiIr relaxed with PBEsol, computed with SCAN.

Cell lengths 4.410, 4.410, 4.410 Å; angles 60.00, 60.00, 60.00 degrees
Positions (direct):
1 Ir 0.500 0.500 0.500
2 K 0.250 0.250 0.250
3 Ni 0.000 0.000 0.000

## Properties
The calculated volume comes out at 60.7 Å³ per cell.

The relative energies come out as arrangement w 0; arrangement x 1012, with values in meV/atom.

Arrangement w

A crystal of K2IrOs relaxed with PBEsol, computed with SCAN.

Cell lengths 3.745, 3.745, 5.491 Å; angles 90.00, 90.00, 90.00 degrees
Positions (direct):
1 Ir 0.000 0.000 0.500
2 K 0.000 0.500 0.000
3 K 0.500 0.000 0.000
4 Os 0.500 0.500 0.500

## Properties
The calculated volume comes out at 77.0 Å³ per cell.

Arrangement x

A crystal of K2IrOs relaxed with PBEsol, computed with SCAN.

Cell lengths 2.742, 4.787, 6.239 Å; angles 111.99, 101.75, 92.42 degrees
Positions (direct):
1 Ir 0.000 0.500 0.000
2 K 0.000 0.000 0.500
3 K 0.500 0.500 0.500
4 Os 0.500 0.000 0.000

## Properties
The calculated volume comes out at 73.7 Å³ per cell.

Arrangement y

A crystal of K2IrOs relaxed with PBEsol, computed with SCAN.

Cell lengths 5.039, 5.039, 5.039 Å; angles 60.00, 60.00, 60.00 degrees
Positions (direct):
1 Ir 0.000 0.000 0.000
2 K 0.250 0.250 0.250
3 K 0.750 0.750 0.750
4 Os 0.500 0.500 0.500

## Properties
The calculated volume comes out at 90.5 Å³ per cell.

Arrangement z

A crystal of K2IrOs relaxed with PBEsol, computed with SCAN.

Cell lengths 2.808, 4.250, 10.204 Å; angles 102.02, 97.91, 90.00 degrees
Positions (direct):
1 Ir 0.500 0.000 0.000
2 K 0.859 0.859 0.717
3 K 0.141 0.141 0.283
4 Os 0.000 0.500 0.000

## Properties
The calculated volume comes out at 117.9 Å³ per cell.

The relative energies come out as arrangement w 521; arrangement x 413; arrangement y 1667; arrangement z 0, with values in meV/atom.

Arrangement w

A crystal of KP2Ir relaxed with PBEsol, computed with SCAN.

Cell lengths 3.984, 3.984, 6.318 Å; angles 71.62, 71.62, 60.00 degrees
Positions (direct):
1 Ir 0.500 0.500 0.500
2 K 0.000 0.000 0.000
3 P 0.206 0.206 0.382
4 P 0.794 0.794 0.618

## Properties
The calculated volume comes out at 80.9 Å³ per cell.

Arrangement x

A crystal of KP2Ir relaxed with PBEsol, computed with SCAN.

Cell lengths 4.007, 5.198, 5.198 Å; angles 74.15, 67.33, 67.33 degrees
Positions (direct):
1 Ir 0.500 0.000 0.000
2 K 0.000 0.500 0.500
3 P 0.155 0.845 0.845
4 P 0.845 0.155 0.155

## Properties
The calculated volume comes out at 91.2 Å³ per cell.

The relative energies come out as arrangement w 0; arrangement x 302, with values in meV/atom.

Arrangement w

A crystal of KIrPt relaxed with PBEsol, computed with SCAN.

Cell lengths 4.512, 4.512, 4.512 Å; angles 60.00, 60.00, 60.00 degrees
Positions (direct):
1 Ir 0.000 0.000 0.000
2 K 0.500 0.500 0.500
3 Pt 0.750 0.750 0.750

## Properties
The calculated volume comes out at 65.0 Å³ per cell.

Arrangement x

A crystal of KIrPt relaxed with PBEsol, computed with SCAN.

Cell lengths 2.682, 4.815, 4.815 Å; angles 120.00, 90.00, 90.00 degrees
Positions (direct):
1 Ir 0.500 0.000 0.000
2 K 0.000 0.333 0.667
3 Pt 0.500 0.667 0.333

## Properties
The calculated volume comes out at 53.9 Å³ per cell.

The relative energies come out as arrangement w 469; arrangement x 0, with values in meV/atom.